Record 1
Entry from Alexandria via LeMat-Bulk: La6InSn2 after structural relaxation (PBE-GGA).

## Properties
Final energy: -90.02 eV/cell
Formation enthalpy at 0 K: -0.522 eV per atom

Lattice parameters (Å, degrees): 4.515 15.236 8.796 90.00 90.00 90.00
Space group Amm2 (No. 38)
Unique sites:
La: 0.000 0.000 0.000 [2 per cell]
La: 0.000 0.135 0.592 [4 per cell]
La: 0.500 0.000 0.316 [2 per cell]
La: 0.500 0.206 0.934 [4 per cell]
In: 0.500 0.000 0.728 [2 per cell]
Sn: 0.000 0.167 0.228 [4 per cell]

=====

Record 2
Entry from Alexandria via LeMat-Bulk: LaIn3Sn after structural relaxation (PBE-GGA).

## Properties
Final energy: -13.66 eV/cell
Formation enthalpy at 0 K: 0.697 eV per atom

Lattice parameters (Å, degrees): 5.999 5.999 5.999 90.00 90.00 90.00
Space group Pm-3m (No. 221)
Unique sites:
La: 0.000 0.000 0.000 [1 per cell]
In: 0.000 0.000 0.500 [3 per cell]
Sn: 0.500 0.500 0.500 [1 per cell]